# LiSmCl2

An optimized crystal structure of LiSmCl2 (PBE, the Alexandria database).

The calculation puts the density of states at the Fermi level at 0.280 states/eV/atom. As for the formation energy without anion corrections: -1500 meV/atom. The value obtained for the energy is -48.98 eV per cell.

The space group is R-3m (No. 166, hexagonal axes) and the conventional cell measures 3.8038, 3.8038 and 24.5018 Å, with angles of 90.00, 90.00 and 120.00 degrees. The asymmetric unit holds Li at (0.0000, 0.0000, 0.0000), Sm at (0.0000, 0.0000, 0.5000) and Cl at (0.0000, 0.0000, 0.3900).

=====

# LiLaPmRu

An optimized crystal structure of LiLaPmRu (PBE, the Alexandria database).

The calculation puts the density of states at the Fermi level at 0.612 states/eV/atom. Its formation energy is -0.14 eV/atom. The value obtained for the energy is -85.78 eV per cell.

The space group is F-43m (No. 216) and the conventional cell measures 7.206, 7.206 and 7.206 Å, with angles of 90.00, 90.00 and 90.00 degrees. The asymmetric unit holds Li at (0.000, 0.000, 0.000), La at (0.250, 0.250, 0.750), Pm at (0.250, 0.250, 0.250) and Ru at (0.000, 0.000, 0.500).